Below is crystalline La5SmIn4 at its relaxed geometry, with properties calculated at the GGA-PBE level.

Calculated values
**SG**: P4/mmm, No. 123
**Crystal system**: tetragonal
**Uncorrected energy**: -4.42 eV per atom

Unit cell a=3.681 b=3.681 c=23.305 alpha=90.00 beta=90.00 gamma=90.00
Fractional coordinates of all 10 atoms:
La 0.000 0.000 0.000
La 0.000 0.000 0.194
La 0.000 0.000 0.386
La 0.000 0.000 0.614
La 0.000 0.000 0.806
Sm 0.500 0.500 0.500
In 0.500 0.500 0.097
In 0.500 0.500 0.291
In 0.500 0.500 0.709
In 0.500 0.500 0.903

Below is crystalline Ce2Pb at its relaxed geometry, with properties calculated at the GGA-PBE level.

Calculated values
**SG**: Fd-3m, No. 227
**Crystal system**: cubic
**Uncorrected energy**: -5.25 eV per atom

Unit cell a=6.192 b=6.192 c=6.192 alpha=60.00 beta=60.00 gamma=60.00
Fractional coordinates of all 6 atoms:
Ce 0.000 0.000 0.000
Ce 0.000 0.000 0.500
Ce 0.000 0.500 0.000
Ce 0.500 0.000 0.000
Pb 0.375 0.375 0.375
Pb 0.625 0.625 0.625

Below is crystalline NaIn5SnPb2 at its relaxed geometry, with properties calculated at the GGA-PBE level.

Calculated values
**SG**: Cmc2_1, No. 36
**Crystal system**: orthorhombic
**Uncorrected energy**: -2.95 eV per atom

Unit cell a=8.163 b=8.163 c=12.646 alpha=90.00 beta=90.00 gamma=143.17
Fractional coordinates of all 18 atoms:
Na 0.080 0.920 0.500
Na 0.920 0.080 0.000
In 0.086 0.914 0.168
In 0.089 0.911 0.829
In 0.246 0.754 0.660
In 0.250 0.750 0.338
In 0.408 0.592 0.174
In 0.592 0.408 0.674
In 0.750 0.250 0.838
In 0.754 0.246 0.160
In 0.911 0.089 0.329
In 0.914 0.086 0.668
Sn 0.251 0.749 0.003
Sn 0.749 0.251 0.503
Pb 0.408 0.592 0.823
Pb 0.422 0.578 0.502
Pb 0.578 0.422 0.002
Pb 0.592 0.408 0.323